Entry 1:
A plane-wave DFT calculation with PBE was carried out for a relaxed structure of NaCaIn2Pt.

a = 5.258 Å, b = 5.258 Å, c = 5.474 Å
α = 90.00°, β = 90.00°, γ = 90.00°
Fractional positions:
Ca  0.000  0.000  0.500
Pt  0.000  0.000  0.000
In  0.000  0.500  0.000
In  0.500  0.000  0.000
Na  0.500  0.500  0.500

Calculated values
calculated volume: 30.26 Å³ per atom
ΔH_f (0 K): -0.351 eV per atom
SG: P4/mmm
energy: -16.6 eV for the cell shown

=====

Entry 2:
A plane-wave DFT calculation with PBE was carried out for a relaxed structure of NaCaInPt.

a = 4.969 Å, b = 4.969 Å, c = 4.969 Å
α = 60.00°, β = 60.00°, γ = 60.00°
Fractional positions:
In  0.000  0.000  0.000
Na  0.250  0.250  0.250
Ca  0.500  0.500  0.500
Pt  0.750  0.750  0.750

Calculated values
calculated volume: 21.69 Å³ per atom
ΔH_f (0 K): -0.462 eV per atom
SG: F-43m
energy: -13.9 eV for the cell shown